No. 1
# PBE-GGA La3TmS6, relaxed
# E above lowest polymorph	87	meV/atom
# size of the total moment	0.00	μB per formula unit
# energy relative to the elements, uncorrected	-2.08	eV per atom
# raw total energy	-129.57	eV per cell
data_La3TmS6
_cell_length_a 10.939
_cell_length_b 4.185
_cell_length_c 12.132
_cell_angle_alpha 90.00
_cell_angle_beta 105.57
_cell_angle_gamma 90.00
_space_group_name_H-M_alt 'P 1 21/m 1'
_space_group_IT_number 11
loop_
_space_group_symop_operation_xyz
'x,y,z'
'-x,-y,-z'
'-x,y+1/2,-z'
'x,-y+1/2,z'
loop_
_atom_site_label
_atom_site_type_symbol
_atom_site_fract_x
_atom_site_fract_y
_atom_site_fract_z
La1 La 0.091 0.250 0.164
La2 La 0.181 0.750 0.506
La3 La 0.343 0.250 0.905
Tm1 Tm 0.460 0.250 0.340
S1 S 0.027 0.250 0.383
S2 S 0.081 0.250 0.921
S3 S 0.272 0.750 0.291
S4 S 0.332 0.750 0.739
S5 S 0.393 0.750 0.069
S6 S 0.394 0.250 0.539

---

No. 2
# PBE-GGA CaNdPd, relaxed
# E above lowest polymorph	45	meV/atom
# size of the total moment	0.00	μB per formula unit
# energy of formation from the pure elements	-45.14	kJ/mol of atoms
# density of states at the Fermi level	0.80	states/eV per atom
# raw total energy	-26.73	eV per cell
data_CaNdPd
_cell_length_a 3.636
_cell_length_b 3.636
_cell_length_c 13.103
_cell_angle_alpha 90.00
_cell_angle_beta 90.00
_cell_angle_gamma 90.00
_space_group_name_H-M_alt 'I 4 m m'
_space_group_IT_number 107
_space_group_name_Hall 'I 4 -2'
loop_
_atom_site_label
_atom_site_type_symbol
_atom_site_fract_x
_atom_site_fract_y
_atom_site_fract_z
Ca1 Ca 0.000 0.000 0.000
Nd1 Nd 0.000 0.000 0.262
Pd1 Pd 0.000 0.000 0.641

---

No. 3
# PBE-GGA HfTlIr3, relaxed
# E above lowest polymorph	505	meV/atom
# size of the total moment	0.00	μB per formula unit
# energy of formation from the pure elements	173.64	kJ/mol of atoms
# density of states at the Fermi level	0.17	states/eV per atom
# raw total energy	-29.90	eV per cell
data_HfTlIr3
_cell_length_a 4.854
_cell_length_b 4.854
_cell_length_c 4.854
_cell_angle_alpha 90.00
_cell_angle_beta 90.00
_cell_angle_gamma 90.00
_space_group_name_H-M_alt 'P m -3 m'
_space_group_IT_number 221
_space_group_name_Hall '-P 4 2 3'
loop_
_atom_site_label
_atom_site_type_symbol
_atom_site_fract_x
_atom_site_fract_y
_atom_site_fract_z
Hf1 Hf 0.000 0.000 0.000
Tl1 Tl 0.500 0.500 0.500
Ir1 Ir 0.000 0.500 0.500

---

No. 4
# PBE-GGA LaSmPu, relaxed
# E above lowest polymorph	0	meV/atom
# size of the total moment	6.14	μB per formula unit
# energy of formation from the pure elements	12.15	kJ/mol of atoms
# density of states at the Fermi level	2.31	states/eV per atom
# raw total energy	-47.20	eV per cell
data_LaSmPu
_cell_length_a 3.590
_cell_length_b 3.590
_cell_length_c 15.211
_cell_angle_alpha 90.00
_cell_angle_beta 90.00
_cell_angle_gamma 90.00
_space_group_name_H-M_alt 'I 4 m m'
_space_group_IT_number 107
_space_group_name_Hall 'I 4 -2'
loop_
_atom_site_label
_atom_site_type_symbol
_atom_site_fract_x
_atom_site_fract_y
_atom_site_fract_z
La1 La 0.000 0.000 0.000
Sm1 Sm 0.000 0.000 0.676
Pu1 Pu 0.000 0.000 0.336